## BAuSe2N (GGA-PBE)

Data for crystalline BAuSe2N at its relaxed geometry.

Geometry as POSCAR:
```
BAuSe2N
1.0
4.552 0.000 0.000
0.000 4.552 0.000
0.000 0.000 4.148
B Au Se N
1 1 2 1
Direct
0.000 0.000 0.000 B
0.500 0.500 0.000 Au
0.000 0.500 0.500 Se
0.500 0.000 0.500 Se
0.500 0.500 0.500 N
```

Output
Mass density ... 7.3 g cm⁻³
Energy relative to the elements, uncorrected ... 158.78 kJ per mole of atoms
Space group ... P4/mmm (123)
Excess energy over the best structure of this formula in the dataset ... 1371 meV/atom